(1)
# LaSbPt2 PBEsol relaxed
data_LaSbPt2
_chemical_formula_sum 'La1 Sb1 Pt2'
_space_group_name_H-M_alt 'P 4 m m'
_space_group_IT_number 99
_space_group_name_Hall 'P 4 -2'
_cell_length_a 3.892
_cell_length_b 3.892
_cell_length_c 5.966
_cell_angle_alpha 90.00
_cell_angle_beta 90.00
_cell_angle_gamma 90.00
loop_
_atom_site_label
_atom_site_type_symbol
_atom_site_fract_x
_atom_site_fract_y
_atom_site_fract_z
_atom_site_occupancy
La1 La 0.000 0.000 0.000 1
Sb1 Sb 0.500 0.500 0.601 1
Pt1 Pt 0.000 0.000 0.519 1
Pt2 Pt 0.500 0.500 0.161 1
# energy relative to the elements, uncorrected	-2.57	eV/f.u.
# E_tot	-6.60	eV per atom
# size of the total moment	0.00	μB per formula unit

(2)
# LaSb2Pt PBEsol relaxed
data_LaSb2Pt
_chemical_formula_sum 'La1 Sb2 Pt1'
_space_group_name_H-M_alt 'P 4/m m m'
_space_group_IT_number 123
_space_group_name_Hall '-P 4 2'
_cell_length_a 4.651
_cell_length_b 4.651
_cell_length_c 4.305
_cell_angle_alpha 90.00
_cell_angle_beta 90.00
_cell_angle_gamma 90.00
loop_
_atom_site_label
_atom_site_type_symbol
_atom_site_fract_x
_atom_site_fract_y
_atom_site_fract_z
_atom_site_occupancy
La1 La 0.000 0.000 0.000 1
Sb1 Sb 0.000 0.500 0.500 1
Pt1 Pt 0.500 0.500 0.000 1
# energy relative to the elements, uncorrected	-2.58	eV/f.u.
# E_tot	-6.00	eV per atom
# size of the total moment	0.00	μB per formula unit

(3)
# La4SbPt PBEsol relaxed
data_La4SbPt
_chemical_formula_sum 'La16 Sb4 Pt4'
_space_group_name_H-M_alt 'F -4 3 m'
_space_group_IT_number 216
_space_group_name_Hall 'F -4 2 3'
_cell_length_a 8.724
_cell_length_b 8.724
_cell_length_c 8.724
_cell_angle_alpha 90.00
_cell_angle_beta 90.00
_cell_angle_gamma 90.00
loop_
_atom_site_label
_atom_site_type_symbol
_atom_site_fract_x
_atom_site_fract_y
_atom_site_fract_z
_atom_site_occupancy
La1 La 0.124 0.124 0.124 1
Sb1 Sb 0.250 0.250 0.750 1
Pt1 Pt 0.000 0.000 0.500 1
# energy relative to the elements, uncorrected	0.22	eV/f.u.
# E_tot	-5.45	eV per atom
# size of the total moment	0.00	μB per formula unit